## one
The following is a DFT calculation (PBE) of an optimized crystal structure of K2TlPd2.

The magnetic moment comes out at 0.00 μB per cell.

It has space group R-3m (No. 166, hexagonal axes), with a = 4.7261 Å, b = 4.7261 Å, c = 29.5354 Å, α = 90.00°, β = 90.00° and γ = 120.00°. Symmetry generates all atoms from K at (0.0000, 0.0000, 0.0742), Tl at (0.0000, 0.0000, 0.5000) and Pd at (0.0000, 0.0000, 0.1817).

=====

## two
The following is a DFT calculation (PBE) of an optimized crystal structure of K2TlPd2.

The magnetic moment comes out at 0.00 μB per cell.

It has space group P4/mbm (No. 127), with a = 7.109 Å, b = 7.109 Å, c = 5.411 Å, α = 90.00°, β = 90.00° and γ = 90.00°. Symmetry generates all atoms from K at (0.174, 0.326, 0.000), Tl at (0.000, 0.000, 0.500) and Pd at (0.134, 0.634, 0.500).

=====

Relative energies, unit eV/atom: one 0.000; two 0.089

=====

## one
The following is a DFT calculation (PBE) of an optimized crystal structure of KTl2Pd3.

The magnetic moment comes out at 0.00 μB per cell.

It has space group C2/m (No. 12), with a = 16.743 Å, b = 4.156 Å, c = 9.094 Å, α = 90.00°, β = 113.36° and γ = 90.00°. Symmetry generates all atoms from K at (0.149, 0.000, 0.034), Tl at (0.029, 0.500, 0.191), Tl at (0.197, 0.000, 0.684), Pd at (0.045, 0.000, 0.400), Pd at (0.078, 0.500, 0.640) and Pd at (0.185, 0.500, 0.458).

=====

## two
The following is a DFT calculation (PBE) of an optimized crystal structure of KTl2Pd3.

The magnetic moment comes out at 0.00 μB per cell.

It has space group P6/mmm (No. 191), with a = 5.9968 Å, b = 5.9968 Å, c = 4.3940 Å, α = 90.00°, β = 90.00° and γ = 120.00°. Symmetry generates all atoms from K at (0.0000, 0.0000, 0.0000), Tl at (0.3333, 0.6667, 0.0000) and Pd at (0.0000, 0.5000, 0.5000).

=====

Relative energies, unit eV/atom: one 0.048; two 0.000

=====

## one
The following is a DFT calculation (PBE) of an optimized crystal structure of KTl8Pd2.

The magnetic moment comes out at 0.00 μB per cell.

It has space group C2/m (No. 12), with a = 9.286 Å, b = 12.719 Å, c = 5.494 Å, α = 90.00°, β = 102.64° and γ = 90.00°. Symmetry generates all atoms from K at (0.000, 0.000, 0.000), Tl at (0.000, 0.270, 0.000), Tl at (0.107, 0.500, 0.791), Tl at (0.211, 0.130, 0.605) and Pd at (0.000, 0.304, 0.500).

=====

## two
The following is a DFT calculation (PBE) of an optimized crystal structure of KTl8Pd2.

The magnetic moment comes out at 0.00 μB per cell.

It has space group P4/mmm (No. 123), with a = 6.608 Å, b = 6.608 Å, c = 9.219 Å, α = 90.00°, β = 90.00° and γ = 90.00°. Symmetry generates all atoms from K at (0.000, 0.000, 0.000), Tl at (0.252, 0.252, 0.312) and Pd at (0.000, 0.500, 0.500).

=====

Relative energies, unit eV/atom: one 0.000; two 0.069

=====

## one
The following is a DFT calculation (PBE) of an optimized crystal structure of KTlPd4.

The magnetic moment comes out at 0.00 μB per cell.

It has space group F-43m (No. 216), with a = 7.786 Å, b = 7.786 Å, c = 7.786 Å, α = 90.00°, β = 90.00° and γ = 90.00°. Symmetry generates all atoms from K at (0.000, 0.000, 0.000), Tl at (0.250, 0.250, 0.750) and Pd at (0.125, 0.125, 0.375).

=====

## two
The following is a DFT calculation (PBE) of an optimized crystal structure of KTlPd4.

The magnetic moment comes out at 0.00 μB per cell.

It has space group Pmma (No. 51), with a = 7.900 Å, b = 4.229 Å, c = 8.538 Å, α = 90.00°, β = 90.00° and γ = 90.00°. Symmetry generates all atoms from K at (0.250, 0.000, 0.148), Tl at (0.250, 0.000, 0.740), Pd at (0.000, 0.000, 0.500), Pd at (0.034, 0.500, 0.713) and Pd at (0.250, 0.500, 0.463).

=====

Relative energies, unit eV/atom: one 0.000; two 0.063

=====

## one
The following is a DFT calculation (PBE) of an optimized crystal structure of K3TlPd.

The magnetic moment comes out at 0.00 μB per cell.

It has space group Pm-3m (No. 221), with a = 6.166 Å, b = 6.166 Å, c = 6.166 Å, α = 90.00°, β = 90.00° and γ = 90.00°. Symmetry generates all atoms from K at (0.000, 0.000, 0.500), Tl at (0.500, 0.500, 0.500) and Pd at (0.000, 0.000, 0.000).

=====

## two
The following is a DFT calculation (PBE) of an optimized crystal structure of K3TlPd.

The magnetic moment comes out at 0.00 μB per cell.

It has space group C2/m (No. 12), with a = 12.458 Å, b = 10.346 Å, c = 8.570 Å, α = 90.00°, β = 131.22° and γ = 90.00°. Symmetry generates all atoms from K at (0.057, 0.000, 0.344), K at (0.221, 0.307, 0.767), Tl at (0.063, 0.500, 0.250) and Pd at (0.217, 0.500, 0.116).

=====

Relative energies, unit eV/atom: one 0.216; two 0.000

=====

## one
The following is a DFT calculation (PBE) of an optimized crystal structure of K2Tl6Pd.

The magnetic moment comes out at 0.00 μB per cell.

It has space group P-3m1 (No. 164), with a = 7.1853 Å, b = 7.1853 Å, c = 6.2115 Å, α = 90.00°, β = 90.00° and γ = 120.00°. Symmetry generates all atoms from K at (0.3333, 0.6667, 0.1954), Tl at (0.1718, 0.3436, 0.6987) and Pd at (0.0000, 0.0000, 0.0000).

=====

## two
The following is a DFT calculation (PBE) of an optimized crystal structure of K2Tl6Pd.

The magnetic moment comes out at 0.00 μB per cell.

It has space group C2/m (No. 12), with a = 12.726 Å, b = 7.353 Å, c = 7.355 Å, α = 90.00°, β = 125.22° and γ = 90.00°. Symmetry generates all atoms from K at (0.250, 0.000, 0.250), Tl at (0.000, 0.229, 0.271), Tl at (0.229, 0.000, 0.728) and Pd at (0.000, 0.500, 0.000).

=====

Relative energies, unit eV/atom: one 0.000; two 0.021

=====

## one
The following is a DFT calculation (PBE) of an optimized crystal structure of KTl2Pd2.

The magnetic moment comes out at 0.00 μB per cell.

It has space group P-1 (No. 2), with a = 6.469 Å, b = 6.857 Å, c = 6.969 Å, α = 112.81°, β = 110.52° and γ = 95.41°. Symmetry generates all atoms from K at (0.063, 0.196, 0.315), Tl at (0.182, 0.414, 0.891), Tl at (0.500, 0.065, 0.790), Pd at (0.293, 0.689, 0.366) and Pd at (0.477, 0.639, 0.763).

=====

## two
The following is a DFT calculation (PBE) of an optimized crystal structure of KTl2Pd2.

The magnetic moment comes out at 0.00 μB per cell.

It has space group C2/m (No. 12), with a = 11.821 Å, b = 4.503 Å, c = 5.255 Å, α = 90.00°, β = 106.84° and γ = 90.00°. Symmetry generates all atoms from K at (0.000, 0.000, 0.000), Tl at (0.146, 0.500, 0.579) and Pd at (0.238, 0.500, 0.145).

=====

## three
The following is a DFT calculation (PBE) of an optimized crystal structure of KTl2Pd2.

The magnetic moment comes out at 0.00 μB per cell.

It has space group P4/mbm (No. 127), with a = 8.546 Å, b = 8.546 Å, c = 3.122 Å, α = 90.00°, β = 90.00° and γ = 90.00°. Symmetry generates all atoms from K at (0.000, 0.000, 0.000), Tl at (0.142, 0.358, 0.500) and Pd at (0.152, 0.652, 0.000).

=====

Relative energies, unit eV/atom: one 0.023; two 0.000; three 0.043

=====

## one
The following is a DFT calculation (PBE) of an optimized crystal structure of KTl3Pd.

The magnetic moment comes out at 0.00 μB per cell.

It has space group Pnma (No. 62), with a = 9.335 Å, b = 4.878 Å, c = 12.748 Å, α = 90.00°, β = 90.00° and γ = 90.00°. Symmetry generates all atoms from K at (0.185, 0.250, 0.003), Tl at (0.060, 0.250, 0.581), Tl at (0.119, 0.750, 0.796), Tl at (0.142, 0.750, 0.215) and Pd at (0.094, 0.250, 0.356).

=====

## two
The following is a DFT calculation (PBE) of an optimized crystal structure of KTl3Pd.

The magnetic moment comes out at 0.00 μB per cell.

It has space group Pm-3m (No. 221), with a = 6.000 Å, b = 6.000 Å, c = 6.000 Å, α = 90.00°, β = 90.00° and γ = 90.00°. Symmetry generates all atoms from K at (0.000, 0.000, 0.000), Tl at (0.000, 0.000, 0.500) and Pd at (0.500, 0.500, 0.500).

=====

## three
The following is a DFT calculation (PBE) of an optimized crystal structure of KTl3Pd.

The magnetic moment comes out at 0.00 μB per cell.

It has space group Pm-3m (No. 221), with a = 5.463 Å, b = 5.463 Å, c = 5.463 Å, α = 90.00°, β = 90.00° and γ = 90.00°. Symmetry generates all atoms from K at (0.000, 0.000, 0.000), Tl at (0.000, 0.500, 0.500) and Pd at (0.500, 0.500, 0.500).

=====

Relative energies, unit eV/atom: one 0.000; two 1.146; three 0.065

=====

## one
The following is a DFT calculation (PBE) of an optimized crystal structure of K3Tl4Pd2.

The magnetic moment comes out at 0.00 μB per cell.

It has space group C2/c (No. 15), with a = 15.454 Å, b = 10.669 Å, c = 7.718 Å, α = 90.00°, β = 106.66° and γ = 90.00°. Symmetry generates all atoms from K at (0.000, 0.047, 0.250), K at (0.122, 0.396, 0.157), Tl at (0.130, 0.236, 0.652), Tl at (0.195, 0.093, 0.050) and Pd at (0.222, 0.136, 0.413).

=====

## two
The following is a DFT calculation (PBE) of an optimized crystal structure of K3Tl4Pd2.

The magnetic moment comes out at 0.00 μB per cell.

It has space group C2/m (No. 12), with a = 13.112 Å, b = 4.797 Å, c = 9.182 Å, α = 90.00°, β = 93.66° and γ = 90.00°. Symmetry generates all atoms from K at (0.000, 0.000, 0.000), K at (0.093, 0.500, 0.690), Tl at (0.121, 0.000, 0.364), Tl at (0.209, 0.500, 0.102) and Pd at (0.229, 0.500, 0.406).

=====

Relative energies, unit eV/atom: one 0.011; two 0.000

=====

## one
The following is a DFT calculation (PBE) of an optimized crystal structure of KVPd3.

The magnetic moment comes out at 3.58 μB per cell.

It has space group Pm-3m (No. 221), with a = 4.921 Å, b = 4.921 Å, c = 4.921 Å, α = 90.00°, β = 90.00° and γ = 90.00°. Symmetry generates all atoms from K at (0.000, 0.000, 0.000), V at (0.500, 0.500, 0.500) and Pd at (0.000, 0.000, 0.500).

=====

## two
The following is a DFT calculation (PBE) of an optimized crystal structure of KVPd3.

The magnetic moment comes out at 1.49 μB per cell.

It has space group Pm-3m (No. 221), with a = 4.801 Å, b = 4.801 Å, c = 4.801 Å, α = 90.00°, β = 90.00° and γ = 90.00°. Symmetry generates all atoms from K at (0.000, 0.000, 0.000), V at (0.500, 0.500, 0.500) and Pd at (0.000, 0.500, 0.500).

=====

Relative energies, unit eV/atom: one 1.211; two 0.000

=====

## one
The following is a DFT calculation (PBE) of an optimized crystal structure of KV2Pd.

The magnetic moment comes out at 5.70 μB per cell.

It has space group I-42d (No. 122), with a = 4.461 Å, b = 4.461 Å, c = 19.154 Å, α = 90.00°, β = 90.00° and γ = 90.00°. Symmetry generates all atoms from K at (0.000, 0.000, 0.000), V at (0.016, 0.250, 0.625) and Pd at (0.000, 0.000, 0.500).

=====

## two
The following is a DFT calculation (PBE) of an optimized crystal structure of KV2Pd.

The magnetic moment comes out at 26.78 μB per cell.

It has space group Fm-3m (No. 225), with a = 6.828 Å, b = 6.828 Å, c = 6.828 Å, α = 90.00°, β = 90.00° and γ = 90.00°. Symmetry generates all atoms from K at (0.000, 0.000, 0.000), V at (0.250, 0.250, 0.250) and Pd at (0.000, 0.000, 0.500).

=====

Relative energies, unit eV/atom: one 0.014; two 0.000